An optimized crystal structure of BaAcZnAu. Source: Alexandria via LeMat-Bulk, functional PBE. Values from VASP.

Properties
The calculation puts the energy of formation at -0.418 eV per atom. As for the space group: No. 216. The magnetization is 0.000 Bohr magnetons per cell.

```
&SYSTEM
  ibrav = 0, nat = 4, ntyp = 4
/
ATOMIC_SPECIES
Ac 227.00 Ac.upf
Au 196.97 Au.upf
Ba 137.33 Ba.upf
Zn 65.41 Zn.upf
CELL_PARAMETERS angstrom
5.620 0.000 0.000
2.810 4.867 0.000
2.810 1.622 4.589
ATOMIC_POSITIONS crystal
Ac 0.250 0.250 0.250
Au 0.000 0.000 0.000
Ba 0.750 0.750 0.750
Zn 0.500 0.500 0.500
```